A plane-wave DFT calculation with PBE-GGA was carried out for NaTeSeS2 after structural relaxation.

V   26.886 Å³ per atom
Formation energy without anion corrections   155 meV/atom

Unit cell a=4.946 b=5.494 c=4.946 alpha=90.00 beta=90.00 gamma=90.00
Atoms (fractional coordinates):
Te: 0.000 0.500 0.000
Se: 0.000 0.000 0.000
S: 0.000 0.000 0.500
S: 0.500 0.000 0.000
Na: 0.500 0.500 0.500

***

A plane-wave DFT calculation with PBE-GGA was carried out for Cs3C4 after structural relaxation.

V   36.978 Å³ per atom
ΔH_f (0 K)   1989 meV per atom

Unit cell a=8.370 b=8.370 c=4.266 alpha=90.00 beta=90.00 gamma=120.00
Site moments in Bohr magnetons follow the coordinates.
Atoms (fractional coordinates):
Cs: 0.500 0.000 0.000  0.09
Cs: 0.500 0.500 0.000  0.09
Cs: 0.000 0.500 0.000  0.09
C: 0.000 0.000 0.650  0.07
C: 0.333 0.667 0.500  1.20
C: 0.667 0.333 0.500  1.20
C: 0.000 0.000 0.350  0.07

***

A plane-wave DFT calculation with PBE-GGA was carried out for ZnCoTe2 after structural relaxation.

V   23.797 Å³ per atom
Formation energy without anion corrections   309 meV/atom

Unit cell a=5.429 b=5.429 c=5.429 alpha=139.83 beta=106.50 gamma=87.24
Site moments in Bohr magnetons follow the coordinates.
Atoms (fractional coordinates):
Te: 0.035 0.035 0.000  0.01
Te: 0.465 0.465 0.000  0.01
Zn: 0.750 0.250 0.500  0.00
Co: 0.250 0.750 0.500  1.06

***

A plane-wave DFT calculation with PBE-GGA was carried out for TcAg5 after structural relaxation.

V   19.916 Å³ per atom
ΔH_f (0 K)   687 meV per atom
Excess energy over the best structure of this formula in the dataset   2.05 eV per formula unit

Unit cell a=5.381 b=5.381 c=4.766 alpha=90.00 beta=90.00 gamma=120.00
Site moments in Bohr magnetons follow the coordinates.
Atoms (fractional coordinates):
Ag: 0.500 0.000 0.500  0.00
Ag: 0.333 0.667 0.000  0.02
Ag: 0.500 0.500 0.500  0.00
Ag: 0.667 0.333 0.000  0.02
Ag: 0.000 0.500 0.500  0.00
Tc: 0.000 0.000 0.000  3.27

***

A plane-wave DFT calculation with PBE-GGA was carried out for Pr4Co2C after structural relaxation.

V   26.452 Å³ per atom
ΔH_f (0 K)   151 meV per atom

Unit cell a=5.093 b=5.093 c=7.996 alpha=71.43 beta=71.43 gamma=90.00
Atoms (fractional coordinates):
C: 0.000 0.000 0.000
Co: 0.122 0.122 0.755
Co: 0.878 0.878 0.245
Pr: 0.695 0.695 0.609
Pr: 0.500 0.000 0.000
Pr: 0.305 0.305 0.391
Pr: 0.000 0.500 0.000

***

A plane-wave DFT calculation with PBE-GGA was carried out for Ta2RePt after structural relaxation.

V   16.740 Å³ per atom
ΔH_f (0 K)   -118 meV per atom

Unit cell a=2.773 b=4.129 c=5.848 alpha=90.00 beta=90.00 gamma=90.00
Atoms (fractional coordinates):
Ta: 0.500 0.500 0.268
Ta: 0.000 0.000 0.984
Re: 0.500 0.500 0.755
Pt: 0.000 0.000 0.493

***

A plane-wave DFT calculation with PBE-GGA was carried out for Ta3RuRh after structural relaxation.

V   21.121 Å³ per atom
ΔH_f (0 K)   1153 meV per atom
Excess energy over the best structure of this formula in the dataset   0.00 eV per formula unit

Unit cell a=4.727 b=4.727 c=4.727 alpha=90.00 beta=90.00 gamma=90.00
Atoms (fractional coordinates):
Ru: 0.000 0.000 0.000
Rh: 0.500 0.500 0.500
Ta: 0.000 0.500 0.000
Ta: 0.000 0.000 0.500
Ta: 0.500 0.000 0.000

***

A plane-wave DFT calculation with PBE-GGA was carried out for MnBr5 after structural relaxation.

V   33.575 Å³ per atom
Formation energy without anion corrections   -197 meV/atom

Unit cell a=6.984 b=6.984 c=9.377 alpha=60.41 beta=60.41 gamma=30.85
Site moments in Bohr magnetons follow the coordinates.
Atoms (fractional coordinates):
Br: 0.315 0.315 0.003  0.00
Br: 0.982 0.982 0.003  0.00
Br: 0.649 0.649 0.003  0.00
Br: 0.666 0.666 0.499  0.05
Br: 0.925 0.925 0.496  0.05
Mn: 0.296 0.296 0.496  4.30

***

A plane-wave DFT calculation with PBE-GGA was carried out for CdRh after structural relaxation.

V   19.200 Å³ per atom
ΔH_f (0 K)   62 meV per atom

Unit cell a=2.862 b=12.143 c=6.629 alpha=90.00 beta=90.00 gamma=90.00
Atoms (fractional coordinates):
Rh: 0.500 0.110 0.571
Rh: 0.000 0.000 0.306
Rh: 0.000 0.500 0.806
Rh: 0.500 0.610 0.071
Rh: 0.500 0.890 0.571
Rh: 0.500 0.390 0.071
Cd: 0.000 0.758 0.306
Cd: 0.500 0.000 0.942
Cd: 0.500 0.500 0.442
Cd: 0.000 0.742 0.806
Cd: 0.000 0.242 0.306
Cd: 0.000 0.258 0.806

***

A plane-wave DFT calculation with PBE-GGA was carried out for MgGa3Te after structural relaxation.

V   27.648 Å³ per atom
Formation energy without anion corrections   282 meV/atom
Excess energy over the best structure of this formula in the dataset   0.00 eV per formula unit

Unit cell a=5.171 b=5.171 c=5.171 alpha=90.00 beta=90.00 gamma=90.00
Atoms (fractional coordinates):
Ga: 0.000 0.500 0.000
Ga: 0.000 0.000 0.500
Ga: 0.500 0.000 0.000
Te: 0.500 0.500 0.500
Mg: 0.000 0.000 0.000

***

A plane-wave DFT calculation with PBE-GGA was carried out for GdErLuTl after structural relaxation.

V   28.293 Å³ per atom
ΔH_f (0 K)   -56 meV per atom

Unit cell a=5.429 b=5.429 c=5.429 alpha=60.00 beta=60.00 gamma=60.00
Site moments in Bohr magnetons follow the coordinates.
Atoms (fractional coordinates):
Er: 0.250 0.250 0.250  0.30
Lu: 0.500 0.500 0.500  0.30
Gd: 0.750 0.750 0.750  7.31
Tl: 0.000 0.000 0.000  -0.01

***

A plane-wave DFT calculation with PBE-GGA was carried out for TmZrRe4 after structural relaxation.

V   17.998 Å³ per atom
ΔH_f (0 K)   -275 meV per atom

Unit cell a=5.345 b=5.345 c=5.345 alpha=60.00 beta=60.00 gamma=60.00
Atoms (fractional coordinates):
Re: 0.126 0.625 0.625
Re: 0.625 0.126 0.625
Re: 0.625 0.625 0.625
Re: 0.625 0.625 0.126
Tm: 0.000 0.000 0.000
Zr: 0.250 0.250 0.250

***

A plane-wave DFT calculation with PBE-GGA was carried out for Sc2CuCl after structural relaxation.

V   19.301 Å³ per atom
Formation energy without anion corrections   -387 meV/atom
Excess energy over the best structure of this formula in the dataset   1.12 eV per formula unit

Unit cell a=5.020 b=5.020 c=5.020 alpha=136.21 beta=114.01 gamma=82.61
Atoms (fractional coordinates):
Sc: 0.987 0.987 0.000
Sc: 0.513 0.513 0.000
Cl: 0.750 0.250 0.500
Cu: 0.250 0.750 0.500

***

A plane-wave DFT calculation with PBE-GGA was carried out for Pm8PC3Br4 after structural relaxation.

V   24.032 Å³ per atom
Formation energy without anion corrections   -1052 meV/atom

Unit cell a=7.770 b=8.616 c=7.772 alpha=116.85 beta=119.99 gamma=90.00
Atoms (fractional coordinates):
P: 0.000 0.500 0.000
Pm: 0.240 0.687 0.480
Pm: 0.708 0.687 0.948
Pm: 0.727 0.681 0.454
Pm: 0.760 0.313 0.520
Pm: 0.240 0.687 0.948
Pm: 0.273 0.319 0.546
Pm: 0.292 0.313 0.052
Pm: 0.760 0.313 0.052
C: 0.500 0.500 0.500
C: 0.000 0.500 0.500
C: 0.500 0.500 0.000
Br: 0.500 0.000 0.000
Br: 0.500 0.000 0.500
Br: 0.000 0.000 0.000
Br: 0.000 0.000 0.500

***

A plane-wave DFT calculation with PBE-GGA was carried out for AlSiBr2 after structural relaxation.

V   27.762 Å³ per atom
Formation energy without anion corrections   -166 meV/atom
Excess energy over the best structure of this formula in the dataset   0.68 eV per formula unit

Unit cell a=8.299 b=8.299 c=4.041 alpha=91.69 beta=91.69 gamma=23.53
Atoms (fractional coordinates):
Al: 0.250 0.250 0.250
Si: 0.750 0.750 0.750
Br: 0.109 0.109 0.033
Br: 0.391 0.391 0.467

***

A plane-wave DFT calculation with PBE-GGA was carried out for YMgBe3 after structural relaxation.

V   24.853 Å³ per atom
ΔH_f (0 K)   1710 meV per atom
Excess energy over the best structure of this formula in the dataset   4.71 eV per formula unit

Unit cell a=4.990 b=4.990 c=4.990 alpha=90.00 beta=90.00 gamma=90.00
Site moments in Bohr magnetons follow the coordinates.
Atoms (fractional coordinates):
Be: 0.500 0.000 0.000  0.07
Be: 0.000 0.500 0.000  0.03
Be: 0.000 0.000 0.500  0.01
Mg: 0.500 0.500 0.500  0.00
Y: 0.000 0.000 0.000  0.21

***

A plane-wave DFT calculation with PBE-GGA was carried out for Li2ZrZnBi after structural relaxation.

V   38.289 Å³ per atom
ΔH_f (0 K)   831 meV per atom

Unit cell a=5.877 b=5.543 c=5.877 alpha=90.00 beta=90.00 gamma=90.00
Site moments in Bohr magnetons follow the coordinates.
Atoms (fractional coordinates):
Li: 0.500 0.000 0.000  0.06
Li: 0.000 0.000 0.500  0.04
Bi: 0.000 0.500 0.000  -0.03
Zr: 0.000 0.000 0.000  0.73
Zn: 0.500 0.500 0.500  0.02

***

A plane-wave DFT calculation with PBE-GGA was carried out for TmZnCd after structural relaxation.

V   23.771 Å³ per atom
ΔH_f (0 K)   -143 meV per atom

Unit cell a=4.655 b=4.655 c=4.655 alpha=60.00 beta=60.00 gamma=60.00
Atoms (fractional coordinates):
Tm: 0.000 0.000 0.000
Cd: 0.500 0.500 0.500
Zn: 0.250 0.250 0.250

***

A plane-wave DFT calculation with PBE-GGA was carried out for PmPuTlSi after structural relaxation.

V   25.593 Å³ per atom
Formation energy without anion corrections   -177 meV/atom

Unit cell a=5.251 b=5.251 c=5.251 alpha=60.00 beta=60.00 gamma=60.00
Site moments in Bohr magnetons follow the coordinates.
Atoms (fractional coordinates):
Pu: 0.000 0.000 0.000  5.42
Si: 0.250 0.250 0.250  -0.04
Tl: 0.750 0.750 0.750  0.01
Pm: 0.500 0.500 0.500  0.17

***

A plane-wave DFT calculation with PBE-GGA was carried out for KMnBr2 after structural relaxation.

V   43.084 Å³ per atom
Formation energy without anion corrections   -719 meV/atom
Excess energy over the best structure of this formula in the dataset   0.13 eV per formula unit

Unit cell a=8.475 b=8.475 c=8.475 alpha=34.29 beta=34.29 gamma=34.29
Site moments in Bohr magnetons follow the coordinates.
Atoms (fractional coordinates):
Mn: 0.000 0.000 0.000  3.85
Br: 0.901 0.901 0.901  0.00
Br: 0.099 0.099 0.099  0.00
K: 0.500 0.500 0.500  0.00